{"formula": "TaSb2Au", "functional": "GGA-PBE", "state": "relaxed", "cell": [[4.982, -1.590, 0.000], [4.982, 1.590, 0.000], [-0.535, 0.000, 5.462]], "species": ["Ta", "Sb", "Sb", "Au"], "fractional_positions": [[0.000, 0.000, 0.000], [0.273, 0.273, 0.767], [0.727, 0.727, 0.233], [0.500, 0.500, 0.500]], "raw_formation_energy_ev_per_fu": 1.006, "magnetic_moment_mub_per_fu": 0.00, "sg": "C2/m, No. 12", "final_energy_ev_per_atom": -5.592}